# NaPr2PaSb4

An optimized crystal structure of NaPr2PaSb4 (PBE, the Alexandria database).

Unit cell a=7.7531 b=4.5188 c=7.7762 alpha=90.00 beta=108.89 gamma=90.00
Positions (direct):
1 Na 0.0000 0.0000 0.0000
2 Pr 0.0000 0.5000 0.5000
3 Pr 0.5000 0.0000 0.5000
4 Pa 0.5000 0.5000 0.0000
5 Sb 0.2606 0.0000 0.7637
6 Sb 0.2614 0.5000 0.2412
7 Sb 0.7394 0.0000 0.2363
8 Sb 0.7386 0.5000 0.7588

symmetry	P2/m (10)
total DFT energy (no corrections)	-5.344	eV/atom

# NpTl2F8

An optimized crystal structure of NpTl2F8 (PBE, the Alexandria database).

Unit cell a=8.5270 b=8.5270 c=5.6714 alpha=105.88 beta=105.88 gamma=27.68
Positions (direct):
1 Np 0.0000 0.0000 0.0000
2 Tl 0.3166 0.3166 0.3263
3 Tl 0.6834 0.6834 0.6737
4 F 0.0798 0.0798 0.3543
5 F 0.1155 0.1155 0.9244
6 F 0.2711 0.2711 0.7149
7 F 0.4832 0.4832 0.1863
8 F 0.5168 0.5168 0.8137
9 F 0.7289 0.7289 0.2851
10 F 0.8845 0.8845 0.0756
11 F 0.9202 0.9202 0.6457

symmetry	C2/m (12)
total DFT energy (no corrections)	-5.511	eV/atom
polymorph energy (0 for the lowest one)	1.25	kcal/mol of atoms

# Nd3SmZn2

An optimized crystal structure of Nd3SmZn2 (PBE, the Alexandria database).

Unit cell a=3.6886 b=3.6886 c=12.4720 alpha=90.00 beta=90.00 gamma=90.00
Positions (direct):
1 Nd 0.0000 0.0000 0.0000
2 Nd 0.0000 0.0000 0.2916
3 Nd 0.0000 0.0000 0.7084
4 Sm 0.5000 0.5000 0.5000
5 Zn 0.5000 0.5000 0.1465
6 Zn 0.5000 0.5000 0.8535

symmetry	P4/mmm (123)
ΔE_f	-19.7	kJ per mole of atoms
total DFT energy (no corrections)	-3.799	eV/atom
polymorph energy (0 for the lowest one)	0.00	kcal/mol of atoms

# TeH3S

An optimized crystal structure of TeH3S (PBE, the Alexandria database).

Unit cell a=8.0034 b=8.2501 c=9.3170 alpha=90.00 beta=119.23 gamma=90.00
Positions (direct):
1 Te 0.1495 0.1006 0.1142
2 Te 0.1495 0.3995 0.6142
3 Te 0.8505 0.6006 0.3858
4 Te 0.8505 0.8994 0.8858
5 H 0.2175 0.5491 0.7543
6 H 0.2175 0.9509 0.2543
7 H 0.3839 0.6362 0.5640
8 H 0.3839 0.8638 0.0640
9 H 0.4333 0.1843 0.0154
10 H 0.4333 0.3157 0.5154
11 H 0.5667 0.6843 0.4846
12 H 0.5667 0.8157 0.9846
13 H 0.6161 0.1362 0.9360
14 H 0.6161 0.3638 0.4360
15 H 0.7825 0.0491 0.7457
16 H 0.7825 0.4509 0.2457
17 S 0.4602 0.7282 0.0346
18 S 0.4602 0.7718 0.5346
19 S 0.5398 0.2282 0.4654
20 S 0.5398 0.2718 0.9654

symmetry	P2_1/c (14)
total DFT energy (no corrections)	-3.477	eV/atom
polymorph energy (0 for the lowest one)	0.00	kcal/mol of atoms

# Cu2TcMo

An optimized crystal structure of Cu2TcMo (PBE, the Alexandria database).

Unit cell a=2.5710 b=4.1459 c=5.1170 alpha=90.00 beta=90.42 gamma=90.00
Positions (direct):
1 Cu 0.0007 0.0000 0.2518
2 Cu 0.9993 0.0000 0.7482
3 Tc 0.5000 0.5000 0.5000
4 Mo 0.5000 0.5000 0.0000

symmetry	P2/m (10)
ΔE_f	19.0	kJ per mole of atoms
total DFT energy (no corrections)	-7.151	eV/atom
polymorph energy (0 for the lowest one)	0.73	kcal/mol of atoms

# AcPr2Al

An optimized crystal structure of AcPr2Al (PBE, the Alexandria database).

Unit cell a=5.5810 b=7.0794 c=6.5868 alpha=90.00 beta=90.00 gamma=90.00
Positions (direct):
1 Ac 0.2500 0.2500 0.1153
2 Ac 0.7500 0.7500 0.8847
3 Pr 0.2500 0.0111 0.6487
4 Pr 0.2500 0.4889 0.6487
5 Pr 0.7500 0.5111 0.3513
6 Pr 0.7500 0.9889 0.3513
7 Al 0.2500 0.7500 0.2002
8 Al 0.7500 0.2500 0.7998

symmetry	Pmmn (59)
ΔE_f	-9.1	kJ per mole of atoms
total DFT energy (no corrections)	-4.447	eV/atom
polymorph energy (0 for the lowest one)	1.02	kcal/mol of atoms

total DFT energy (no corrections) of number 3 (Nd3SmZn2)?
-3.799 eV/atom